NpTiP2 | PBE | optimized geometry

Its raw total energy is -8.838 eV per atom. The energy above the most stable polymorph in this dataset comes out at 7.6 kJ/mol of atoms.

It has space group R3m (No. 160, hexagonal axes), with a = 3.5816 Å, b = 3.5816 Å, c = 19.8632 Å, α = 90.00°, β = 90.00° and γ = 120.00°. The inequivalent atoms are Np at (0.0000, 0.0000, 0.0000), Ti at (0.0000, 0.0000, 0.1730), P at (0.0000, 0.0000, 0.5759) and P at (0.0000, 0.0000, 0.7642).